A plane-wave DFT calculation with PBE with a Hubbard U was carried out for an optimized crystal structure of Ni2SnO.

Computed properties:
ΔE to the lowest computed polymorph, eV per atom: 0.669

```
data_Ni2SnO
_chemical_formula_sum 'Ni8 Sn4 O4'
_cell_length_a 5.8197
_cell_length_b 5.8197
_cell_length_c 5.8197
_cell_angle_alpha 90.00
_cell_angle_beta 90.00
_cell_angle_gamma 90.00
_space_group_name_H-M_alt 'F m -3 m'
_space_group_IT_number 225
_space_group_name_Hall '-F 4 2 3'
loop_
_atom_site_label
_atom_site_fract_x
_atom_site_fract_y
_atom_site_fract_z
Ni1 0.2500 0.2500 0.2500
Sn1 0.0000 0.0000 0.0000
O1 0.0000 0.0000 0.5000
```